[1]
Density functional theory data (PBE) for an optimized crystal structure of CaCdAu2.

Cell lengths 4.296, 4.296, 7.003 Å; angles 72.14, 72.14, 60.00 degrees
Fractional positions:
Ca1 0.670 0.670 0.990
Cd1 0.496 0.496 0.511
Au1 0.092 0.092 0.724
Au2 0.242 0.242 0.275

total energy	-2.777	eV per atom
density of states at the Fermi level	1.46	states/eV/cell

[2]
Density functional theory data (PBE) for an optimized crystal structure of CaCe2CdAu4.

Cell lengths 5.107, 5.107, 8.889 Å; angles 73.31, 73.31, 60.00 degrees
Fractional positions:
Ca1 0.000 0.000 0.000
Ce1 0.757 0.757 0.730
Ce2 0.243 0.243 0.270
Cd1 0.500 0.500 0.500
Au1 0.371 0.371 0.887
Au2 0.879 0.879 0.364
Au3 0.121 0.121 0.636
Au4 0.629 0.629 0.113

total energy	-4.137	eV per atom
density of states at the Fermi level	15.62	states/eV/cell

[3]
Density functional theory data (PBE) for an optimized crystal structure of CaCeCdAu.

Cell lengths 5.294, 5.294, 5.294 Å; angles 60.00, 60.00, 60.00 degrees
Fractional positions:
Ca1 0.000 0.000 0.000
Au1 0.250 0.250 0.250
Ce1 0.500 0.500 0.500
Cd1 0.750 0.750 0.750

total energy	-3.478	eV per atom
density of states at the Fermi level	9.39	states/eV/cell

[4]
Density functional theory data (PBE) for an optimized crystal structure of CaCeCd2Au4.

Cell lengths 5.006, 5.006, 8.661 Å; angles 73.20, 73.20, 60.00 degrees
Fractional positions:
Ca1 0.500 0.500 0.500
Ce1 0.000 0.000 0.000
Cd1 0.751 0.751 0.746
Cd2 0.249 0.249 0.254
Au1 0.376 0.376 0.871
Au2 0.875 0.875 0.375
Au3 0.125 0.125 0.625
Au4 0.624 0.624 0.129

total energy	-3.434	eV per atom
density of states at the Fermi level	8.31	states/eV/cell

[5]
Density functional theory data (PBE) for an optimized crystal structure of CaCd2AuCl.

Cell lengths 6.262, 5.367, 6.262 Å; angles 90.00, 90.00, 90.00 degrees
Fractional positions:
Ca1 0.000 0.000 0.000
Cl1 0.500 0.500 0.500
Au1 0.000 0.500 0.000
Cd1 0.000 0.000 0.500
Cd2 0.500 0.000 0.000

total energy	-1.667	eV per atom
energy relative to the elements, uncorrected	0.12	eV/atom
density of states at the Fermi level	0.88	states/eV/cell

[6]
Density functional theory data (PBE) for an optimized crystal structure of Ca2CdCu3Au12.

Cell lengths 8.069, 8.069, 8.069 Å; angles 64.26, 64.26, 64.26 degrees
Fractional positions:
Ca1 0.602 0.602 0.602
Ca2 0.398 0.398 0.398
Cd1 0.000 0.000 0.000
Cu1 0.500 0.000 0.000
Cu2 0.000 0.500 0.000
Cu3 0.000 0.000 0.500
Au1 0.364 0.364 0.888
Au2 0.855 0.855 0.394
Au3 0.394 0.855 0.855
Au4 0.888 0.364 0.364
Au5 0.855 0.394 0.855
Au6 0.364 0.888 0.364
Au7 0.636 0.636 0.112
Au8 0.145 0.145 0.606
Au9 0.606 0.145 0.145
Au10 0.112 0.636 0.636
Au11 0.145 0.606 0.145
Au12 0.636 0.112 0.636

total energy	-3.140	eV per atom
density of states at the Fermi level	7.27	states/eV/cell

[7]
Density functional theory data (PBE) for an optimized crystal structure of CaDyCd2Au4.

Cell lengths 4.955, 4.955, 8.572 Å; angles 73.20, 73.20, 60.00 degrees
Fractional positions:
Ca1 0.000 0.000 0.000
Dy1 0.500 0.500 0.500
Cd1 0.749 0.749 0.754
Cd2 0.251 0.251 0.246
Au1 0.377 0.377 0.869
Au2 0.873 0.873 0.380
Au3 0.127 0.127 0.620
Au4 0.623 0.623 0.131

total energy	-3.313	eV per atom
density of states at the Fermi level	3.41	states/eV/cell

[8]
Density functional theory data (PBE) for an optimized crystal structure of CaDy2CdAu4.

Cell lengths 5.011, 5.011, 8.700 Å; angles 73.26, 73.26, 60.00 degrees
Fractional positions:
Ca1 0.000 0.000 0.000
Dy1 0.756 0.756 0.733
Dy2 0.244 0.244 0.267
Cd1 0.500 0.500 0.500
Au1 0.373 0.373 0.882
Au2 0.878 0.878 0.367
Au3 0.122 0.122 0.633
Au4 0.627 0.627 0.118

total energy	-3.900	eV per atom
density of states at the Fermi level	4.79	states/eV/cell